1.
! Cs2LiHg (PBE, optimized geometry); values from VASP
! energy of formation	87	meV/atom
! energy	-0.89	eV per atom
! space-group type	I-42d
! crystal system	tetragonal
! relative energy among the computed polymorphs	0.0756	eV/atom
&SYSTEM
  ibrav = 0, nat = 8, ntyp = 3
/
ATOMIC_SPECIES
Li 6.94 Li.upf
Hg 200.59 Hg.upf
Cs 132.91 Cs.upf
CELL_PARAMETERS angstrom
-0.0551 -6.7110 -5.3620
1.3461 -0.7177 8.4536
-8.0794 2.8858 -0.4325
ATOMIC_POSITIONS crystal
Li 0.5000 0.5000 0.0000
Li 0.7500 0.2500 0.5000
Hg 0.2500 0.7500 0.5000
Hg 0.0000 0.0000 0.0000
Cs 0.8993 0.8750 0.5243
Cs 0.6250 0.1007 0.9757
Cs 0.3507 0.3750 0.4757
Cs 0.1250 0.6493 0.0243

2.
! TaSbP2S (PBE, optimized geometry); values from VASP
! energy	-5.93	eV per atom
! space-group type	P4/mmm
! crystal system	tetragonal
! relative energy among the computed polymorphs	0.0000	eV/atom
! formation energy (no corrections)	0.2531	eV/atom
&SYSTEM
  ibrav = 0, nat = 5, ntyp = 4
/
ATOMIC_SPECIES
Ta 180.95 Ta.upf
S 32.06 S.upf
P 30.97 P.upf
Sb 121.76 Sb.upf
CELL_PARAMETERS angstrom
-2.3542 4.3026 0.7110
0.3835 -0.6007 4.9043
4.0399 2.2178 -0.0443
ATOMIC_POSITIONS crystal
Ta 0.0000 0.0000 0.0000
S 0.0000 0.0000 0.5000
P 0.5000 0.0000 0.0000
P 0.0000 0.5000 0.0000
Sb 0.5000 0.5000 0.5000

3.
! Tb2PmBi2 (PBE, optimized geometry); values from VASP
! energy of formation	-455	meV/atom
! energy	-4.81	eV per atom
! space-group type	C2/m
! crystal system	monoclinic
&SYSTEM
  ibrav = 0, nat = 5, ntyp = 3
/
ATOMIC_SPECIES
Bi 208.98 Bi.upf
Pm 145.00 Pm.upf
Tb 158.93 Tb.upf
CELL_PARAMETERS angstrom
4.6991 0.9027 -0.7267
-0.1157 4.7836 -0.7267
-2.4198 -3.0021 8.1342
ATOMIC_POSITIONS crystal
Bi 0.4590 0.4590 0.7902
Bi 0.5410 0.5410 0.2098
Pm 0.0000 0.0000 0.0000
Tb 0.2498 0.7502 0.5000
Tb 0.7502 0.2498 0.5000

4.
! LiFe2Ru (PBE, optimized geometry); values from VASP
! energy of formation	251	meV/atom
! energy	-6.78	eV per atom
! space-group type	P4/mmm
! crystal system	tetragonal
&SYSTEM
  ibrav = 0, nat = 4, ntyp = 3
/
ATOMIC_SPECIES
Fe 55.84 Fe.upf
Li 6.94 Li.upf
Ru 101.07 Ru.upf
CELL_PARAMETERS angstrom
3.7087 0.0000 0.0000
0.0000 3.6372 0.0000
0.0000 0.0000 3.6372
ATOMIC_POSITIONS crystal
Fe 0.0000 0.0000 0.0000
Fe 0.0000 0.5000 0.5000
Li 0.5000 0.5000 0.0000
Ru 0.5000 0.0000 0.5000

5.
! LiNbAg2Se4 (PBE, optimized geometry); values from VASP
! energy	-4.51	eV per atom
! space-group type	Pmn2_1
! crystal system	orthorhombic
! formation energy (no corrections)	-0.5558	eV/atom
&SYSTEM
  ibrav = 0, nat = 16, ntyp = 4
/
ATOMIC_SPECIES
Li 6.94 Li.upf
Se 78.96 Se.upf
Ag 107.87 Ag.upf
Nb 92.91 Nb.upf
CELL_PARAMETERS angstrom
-5.9898 -2.2534 -2.9043
-2.5785 -1.6494 6.5975
-3.2311 7.7264 0.6688
ATOMIC_POSITIONS crystal
Li 0.4933 0.8406 0.0000
Li 0.9933 0.1594 0.5000
Se 0.3661 0.1370 0.5000
Se 0.3398 0.1642 0.0000
Se 0.8661 0.8630 0.0000
Se 0.8894 0.3322 0.7590
Se 0.8894 0.3322 0.2410
Se 0.3894 0.6678 0.7410
Se 0.8398 0.8358 0.5000
Se 0.3894 0.6678 0.2590
Ag 0.5137 0.3180 0.2523
Ag 0.5137 0.3180 0.7477
Ag 0.0137 0.6820 0.2477
Ag 0.0137 0.6820 0.7523
Nb 0.9946 0.1736 0.0000
Nb 0.4946 0.8264 0.5000

6.
! Sm7Dy6Tm16 (PBE, optimized geometry); values from VASP
! energy of formation	191	meV/atom
! energy	-4.37	eV per atom
! space-group type	Fm-3m
! crystal system	cubic
&SYSTEM
  ibrav = 0, nat = 29, ntyp = 3
/
ATOMIC_SPECIES
Tm 168.93 Tm.upf
Sm 150.36 Sm.upf
Dy 162.50 Dy.upf
CELL_PARAMETERS angstrom
9.4898 0.0000 5.4789
3.1633 8.9471 5.4790
0.0000 0.0000 10.9579
ATOMIC_POSITIONS crystal
Tm 0.3862 0.3862 0.8415
Tm 0.6138 0.6138 0.1585
Tm 0.8513 0.4462 0.8513
Tm 0.6138 0.6138 0.6138
Tm 0.1487 0.1487 0.1487
Tm 0.4462 0.8513 0.8513
Tm 0.1585 0.6138 0.6138
Tm 0.3862 0.3862 0.3862
Tm 0.6138 0.1585 0.6138
Tm 0.8415 0.3862 0.3862
Tm 0.1487 0.5538 0.1487
Tm 0.8513 0.8513 0.4462
Tm 0.1487 0.1487 0.5538
Tm 0.5538 0.1487 0.1487
Tm 0.8513 0.8513 0.8513
Tm 0.3862 0.8415 0.3862
Sm 0.5000 0.0000 0.5000
Sm 0.0000 0.0000 0.0000
Sm 0.5000 0.0000 0.0000
Sm 0.5000 0.5000 0.0000
Sm 0.0000 0.0000 0.5000
Sm 0.0000 0.5000 0.0000
Sm 0.0000 0.5000 0.5000
Dy 0.7757 0.2243 0.7757
Dy 0.2243 0.7757 0.2243
Dy 0.2243 0.7757 0.7757
Dy 0.7757 0.2243 0.2243
Dy 0.7757 0.7757 0.2243
Dy 0.2243 0.2243 0.7757

7.
! Mg5HIr3 (PBE, optimized geometry); values from VASP
! energy	-4.50	eV per atom
! space-group type	P-1
! crystal system	triclinic
! relative energy among the computed polymorphs	0.0669	eV/atom
&SYSTEM
  ibrav = 0, nat = 9, ntyp = 3
/
ATOMIC_SPECIES
Mg 24.30 Mg.upf
Ir 192.22 Ir.upf
H 1.01 H.upf
CELL_PARAMETERS angstrom
1.1294 -1.5072 3.8365
2.9774 -5.1025 -5.2680
4.0597 1.6212 1.8332
ATOMIC_POSITIONS crystal
Mg 0.4542 0.7123 0.9645
Mg 0.3221 0.3256 0.8445
Mg 0.5713 0.1049 0.1521
Mg 0.1906 0.9389 0.7245
Mg 0.0729 0.5463 0.5368
Ir 0.8223 0.8255 0.3444
Ir 0.9039 0.1658 0.5399
Ir 0.7405 0.4853 0.1490
H 0.3222 0.3255 0.3442

8.
! Cd2MoPb (PBE, optimized geometry); values from VASP
! energy of formation	554	meV/atom
! energy	-3.54	eV per atom
! space-group type	Pmmm
! crystal system	orthorhombic
&SYSTEM
  ibrav = 0, nat = 4, ntyp = 3
/
ATOMIC_SPECIES
Cd 112.41 Cd.upf
Pb 207.20 Pb.upf
Mo 95.94 Mo.upf
CELL_PARAMETERS angstrom
3.2889 0.0000 0.0000
0.0000 4.7670 0.0000
0.0000 0.0000 5.4085
ATOMIC_POSITIONS crystal
Cd 0.5000 0.5000 0.0000
Cd 0.0000 0.0000 0.0000
Pb 0.0000 0.5000 0.5000
Mo 0.5000 0.0000 0.5000

> Number 8 is which compound?

Cd2MoPb

Please write out number 1 again, unchanged.
! Cs2LiHg (PBE, optimized geometry); values from VASP
! energy of formation	87	meV/atom
! energy	-0.89	eV per atom
! space-group type	I-42d
! crystal system	tetragonal
! relative energy among the computed polymorphs	0.0756	eV/atom
&SYSTEM
  ibrav = 0, nat = 8, ntyp = 3
/
ATOMIC_SPECIES
Li 6.94 Li.upf
Hg 200.59 Hg.upf
Cs 132.91 Cs.upf
CELL_PARAMETERS angstrom
-0.0551 -6.7110 -5.3620
1.3461 -0.7177 8.4536
-8.0794 2.8858 -0.4325
ATOMIC_POSITIONS crystal
Li 0.5000 0.5000 0.0000
Li 0.7500 0.2500 0.5000
Hg 0.2500 0.7500 0.5000
Hg 0.0000 0.0000 0.0000
Cs 0.8993 0.8750 0.5243
Cs 0.6250 0.1007 0.9757
Cs 0.3507 0.3750 0.4757
Cs 0.1250 0.6493 0.0243